Record 1
Here is a relaxed structure of Ac4Hg2B from the Alexandria database. Energies are from GGA-PBE.

Cell: 9.0829 9.0829 9.0829 Å, 144.90 144.90 50.48°
Sites, in units of the cell vectors:
1 Ac 0.0000 0.5000 0.5000
2 Ac 0.1777 0.1777 0.0000
3 Ac 0.5000 0.0000 0.5000
4 Ac 0.8223 0.8223 0.0000
5 Hg 0.3737 0.3737 0.0000
6 Hg 0.6263 0.6263 0.0000
7 B 0.0000 0.0000 0.0000

Computed properties:
ΔH_f (0 K) (meV/atom): -112
E (eV per atom): -3.4998

Record 2
Here is a relaxed structure of Ac3HgB4O12 from the Alexandria database. Energies are from GGA-PBE.

Cell: 6.9008 6.9008 6.9008 Å, 101.28 101.28 101.28°
Sites, in units of the cell vectors:
1 Ac 0.0000 0.5154 0.4846
2 Ac 0.4846 0.0000 0.5154
3 Ac 0.5154 0.4846 0.0000
4 Hg 0.0000 0.0000 0.0000
5 B 0.0147 0.5000 0.9853
6 B 0.5000 0.5000 0.5000
7 B 0.5000 0.9853 0.0147
8 B 0.9853 0.0147 0.5000
9 O 0.0214 0.6346 0.8597
10 O 0.1137 0.8863 0.5000
11 O 0.1403 0.3654 0.9786
12 O 0.3654 0.9786 0.1403
13 O 0.3707 0.6293 0.5000
14 O 0.5000 0.1137 0.8863
15 O 0.5000 0.3707 0.6293
16 O 0.6293 0.5000 0.3707
17 O 0.6346 0.8597 0.0214
18 O 0.8597 0.0214 0.6346
19 O 0.8863 0.5000 0.1137
20 O 0.9786 0.1403 0.3654

Computed properties:
Formation energy without anion corrections (meV per atom): -2537
E (eV per atom): -7.4790

no.,total magnetic moment (μB per formula unit)
1,0.000
2,1.077